Compound: HfBeSn2
Source: the Alexandria database
Functional: PBE-GGA
Structure: relaxed

```
HfBeSn2
1.0
-4.0133 5.9309 2.0994
-6.0693 -4.3056 0.5612
-4.3870 0.2577 4.1487
Sn Be Hf
4 2 2
direct
0.3750 0.4301 0.7500
0.1801 0.6250 0.2500
0.8750 0.8199 0.7500
0.5699 0.1250 0.2500
0.5000 0.5000 0.0000
0.2500 0.7500 0.5000
0.0000 0.0000 0.0000
0.7500 0.2500 0.5000
```

Energy relative to the elements   0.204 eV/atom
Fermi-level density of states   1.46 states/eV per cell
Magnetic moment   0.00 μB per formula unit
Electronic total energy   -41.73 eV/cell
Calculated density   8.6 g/cm³



Compound: ZnHg2I
Source: the Alexandria database
Functional: PBE-GGA
Structure: relaxed

```
ZnHg2I
1.0
0.0000 3.9012 3.9012
3.9012 0.0000 3.9012
3.9012 3.9012 0.0000
Zn Hg I
1 2 1
direct
0.0000 0.0000 0.0000
0.2500 0.2500 0.2500
0.7500 0.7500 0.7500
0.5000 0.5000 0.5000
```

Fermi-level density of states   3.62 states/eV per cell
Magnetic moment   0.00 μB per formula unit
ΔE_f (raw)   0.1935 eV per atom
Electronic total energy   -2.65 eV/cell
Calculated density   8.3 g/cm³
Distance to the lowest polymorph of the same formula   0.224 eV/atom



Compound: Tb2HPb
Source: the Alexandria database
Functional: PBE-GGA
Structure: relaxed

```
Tb2HPb
1.0
3.7438 0.0002 0.0003
0.0005 6.4954 -0.0231
-1.8719 -3.2203 7.6354
Pb Tb H
2 4 2
direct
0.6876 0.6368 0.9493
0.9733 0.9227 0.5216
0.6448 0.0943 0.8643
0.3304 0.5226 0.2354
0.0160 0.4652 0.6066
0.3305 0.0370 0.2355
0.4362 0.3856 0.4470
0.2246 0.1740 0.0240
```

Fermi-level density of states   5.01 states/eV per cell
Magnetic moment   0.25 μB per formula unit
Electronic total energy   -36.89 eV/cell
Calculated density   9.4 g/cm³
Distance to the lowest polymorph of the same formula   0.034 eV/atom



Compound: Na3PuPb2Se6
Source: the Alexandria database
Functional: PBE-GGA
Structure: relaxed

```
Na3PuPb2Se6
1.0
-3.3025 1.4377 6.5288
-4.0415 -2.4746 -5.7569
3.6014 -6.1597 1.7449
Na Se Pu Pb
3 6 1 2
direct
0.1738 0.8262 0.5000
0.5000 0.5000 0.5000
0.8262 0.1738 0.5000
0.6133 0.9211 0.7634
0.2268 0.2268 0.7668
0.0789 0.3867 0.2366
0.3867 0.0789 0.2366
0.9211 0.6133 0.7634
0.7732 0.7732 0.2332
0.0000 0.0000 0.0000
0.6659 0.3341 0.0000
0.3341 0.6659 0.0000
```

Fermi-level density of states   9.22 states/eV per cell
Magnetic moment   3.01 μB per formula unit
ΔE_f (raw)   -0.9471 eV per atom
Electronic total energy   -57.98 eV/cell
Calculated density   6.0 g/cm³



| no. | volume (Å³/f.u.) |
| --- | --- |
| 1 | 82.0 |
| 2 | 118.8 |
| 3 | 92.7 |
| 4 | 332.4 |